A plane-wave DFT calculation with PBE was carried out for a geometry-optimized TlBiPb2 structure.

```
TlBiPb2
1.0
-2.278 -1.990 2.864
3.171 0.241 2.691
-5.117 12.876 4.875
Tl Bi Pb
2 2 4
Cartesian
-2.014 5.190 3.520
-2.211 5.937 6.910
-0.760 2.032 2.325
-3.465 9.096 8.104
-3.330 8.506 4.773
-0.895 2.621 5.657
-4.544 11.561 5.930
0.320 -0.434 4.499
```

Computed properties:
Its density is 10.8 g cm⁻³. The calculation puts the total energy at -3.39 eV per atom. Its distance to the lowest polymorph of the same formula is 0.028 eV/atom. Its density of states at the Fermi level is 5.7 states/eV per cell.



A plane-wave DFT calculation with PBE was carried out for a geometry-optimized Cs3NaW structure.

```
Cs3NaW
1.0
7.438 0.000 0.000
0.000 7.438 0.000
0.000 0.000 7.438
Cs Na W
3 1 1
Cartesian
0.000 3.719 0.000
0.000 0.000 3.719
3.719 0.000 0.000
0.000 0.000 0.000
3.719 3.719 3.719
```

Computed properties:
Its density is 2.4 g cm⁻³. The calculation puts the total energy at -1.88 eV per atom. Its distance to the lowest polymorph of the same formula is 0.000 eV/atom. Its density of states at the Fermi level is 5.5 states/eV per cell.